GGA-PBE Ca4BiSbN, relaxed; M_tot = 0.0 Bohr magnetons per cell; total DFT energy (no corrections) = -4.42 eV/atom
1.0
-0.6539 -3.9735 -5.5239
6.0761 -2.8309 1.3171
-3.2933 -3.6858 7.2709
Ca Sb Bi N
8 2 2 2
Direct
0.5000 0.0000 0.5000
0.0922 0.7500 0.1844
0.5958 0.2500 0.1916
0.5000 0.5000 0.5000
0.9078 0.2500 0.8156
0.4042 0.7500 0.8084
0.0000 0.5000 0.5000
0.0000 0.0000 0.5000
0.1096 0.2500 0.2192
0.8904 0.7500 0.7808
0.6059 0.7500 0.2117
0.3941 0.2500 0.7883
0.7499 0.2500 0.4998
0.2501 0.7500 0.5002